{"formula": "Nd2ZnAu3", "functional": "PBE-GGA", "state": "optimized geometry", "relative_energy_mev_per_atom": 0, "total_magnetization_mub_per_cell": 0.00, "dos_ef_per_ev_cell": 3.058, "vol_a3_per_atom": 23.04, "sg": "Pmm2", "lattice": [[-0.744, -3.503, -0.475], [0.084, -0.644, 4.623], [-8.022, 1.653, 0.376]], "species": ["Nd", "Nd", "Au", "Au", "Au", "Zn"], "fractional_positions": [[0.000, 0.000, 0.508], [0.000, 0.500, 0.992], [0.500, 0.500, 0.648], [0.500, 0.000, 0.841], [0.500, 0.000, 0.183], [0.500, 0.500, 0.328]]}

{"formula": "PuBP2", "functional": "PBE-GGA", "state": "optimized geometry", "relative_energy_mev_per_atom": 760, "total_magnetization_mub_per_cell": 5.00, "dos_ef_per_ev_cell": 4.432, "vol_a3_per_atom": 15.60, "sg": "R-3m", "lattice": [[-1.687, -2.415, 0.506], [-0.258, -1.089, 2.772], [-7.054, 3.571, 2.358]], "species": ["P", "P", "Pu", "B"], "fractional_positions": [[0.883, 0.883, 0.351], [0.117, 0.117, 0.649], [0.000, 0.000, 0.000], [0.500, 0.500, 0.500]]}

{"formula": "Zr3Al2N", "functional": "PBE-GGA", "state": "optimized geometry", "formation_energy_uncorrected_ev_per_fu": -5.22, "total_magnetization_mub_per_cell": 0.00, "dos_ef_per_ev_cell": 16.768, "vol_a3_per_atom": 16.98, "sg": "P4_132", "lattice": [[-4.493, 0.803, -5.842], [-2.438, -6.941, 0.921], [-5.369, 2.480, 4.471]], "species": ["Zr", "Zr", "Zr", "Zr", "Zr", "Zr", "Zr", "Zr", "Zr", "Zr", "Zr", "Zr", "Al", "Al", "Al", "Al", "Al", "Al", "Al", "Al", "N", "N", "N", "N"], "fractional_positions": [[0.543, 0.625, 0.293], [0.125, 0.207, 0.457], [0.625, 0.293, 0.543], [0.207, 0.457, 0.125], [0.875, 0.707, 0.043], [0.375, 0.793, 0.957], [0.957, 0.375, 0.793], [0.293, 0.543, 0.625], [0.707, 0.043, 0.875], [0.457, 0.125, 0.207], [0.793, 0.957, 0.375], [0.043, 0.875, 0.707], [0.178, 0.822, 0.322], [0.572, 0.428, 0.928], [0.678, 0.678, 0.678], [0.928, 0.572, 0.428], [0.322, 0.178, 0.822], [0.428, 0.928, 0.572], [0.072, 0.072, 0.072], [0.822, 0.322, 0.178], [0.875, 0.125, 0.625], [0.625, 0.875, 0.125], [0.375, 0.375, 0.375], [0.125, 0.625, 0.875]]}

{"formula": "Ca2POs", "functional": "PBE-GGA", "state": "optimized geometry", "total_energy_ev_per_atom": -4.862, "total_magnetization_mub_per_cell": 0.00, "dos_ef_per_ev_cell": 3.605, "vol_a3_per_atom": 21.36, "sg": "Pmm2", "lattice": [[-0.617, 1.352, 2.372], [2.018, -3.934, 2.768], [5.239, 2.602, -0.120]], "species": ["Ca", "Ca", "Os", "P"], "fractional_positions": [[0.000, 0.000, 0.896], [0.500, 0.500, 0.354], [0.000, 0.000, 0.393], [0.500, 0.500, 0.857]]}

{"formula": "Tc2RuBr", "functional": "PBE-GGA", "state": "optimized geometry", "formation_energy_uncorrected_ev_per_fu": 3.51, "relative_energy_mev_per_atom": 361, "total_magnetization_mub_per_cell": 0.00, "dos_ef_per_ev_cell": 5.794, "vol_a3_per_atom": 16.18, "sg": "Cmmm", "lattice": [[-2.761, -0.470, -0.097], [1.626, -1.826, 1.369], [-1.118, 4.935, 7.910]], "species": ["Br", "Tc", "Tc", "Ru"], "fractional_positions": [[0.500, 0.500, 0.250], [0.000, 0.000, 0.517], [0.000, 0.000, 0.983], [0.500, 0.500, 0.750]]}

{"formula": "CaFeBr", "functional": "PBE-GGA", "state": "optimized geometry", "formation_energy_uncorrected_ev_per_fu": 0.81, "total_magnetization_mub_per_cell": 3.00, "dos_ef_per_ev_cell": 9.100, "vol_a3_per_atom": 30.47, "sg": "F-43m", "lattice": [[5.057, 0.000, 0.000], [2.528, 4.379, 0.000], [2.528, 1.460, 4.129]], "species": ["Br", "Ca", "Fe"], "fractional_positions": [[0.500, 0.500, 0.500], [0.750, 0.750, 0.750], [0.000, 0.000, 0.000]]}

{"formula": "SrLa3Ru", "functional": "PBE-GGA", "state": "optimized geometry", "relative_energy_mev_per_atom": 110, "total_magnetization_mub_per_cell": 0.00, "dos_ef_per_ev_cell": 8.826, "vol_a3_per_atom": 41.92, "sg": "R-3", "lattice": [[4.074, 0.000, 9.723], [-2.037, 3.528, 9.723], [-2.037, -3.528, 9.723]], "species": ["Ru", "Ru", "Sr", "Sr", "La", "La", "La", "La", "La", "La"], "fractional_positions": [[0.332, 0.332, 0.332], [0.668, 0.668, 0.668], [0.168, 0.168, 0.168], [0.832, 0.832, 0.832], [0.066, 0.709, 0.386], [0.934, 0.291, 0.614], [0.291, 0.614, 0.934], [0.386, 0.066, 0.709], [0.614, 0.934, 0.291], [0.709, 0.386, 0.066]]}

{"formula": "Na2B2RhO6", "functional": "PBE-GGA", "state": "optimized geometry", "formation_energy_uncorrected_ev_per_fu": -18.90, "total_magnetization_mub_per_cell": 1.06, "dos_ef_per_ev_cell": 5.680, "vol_a3_per_atom": 11.80, "sg": "P-3", "lattice": [[-2.814, 1.072, 4.031], [3.701, -3.392, 0.345], [3.790, 4.288, 1.506]], "species": ["B", "B", "O", "O", "O", "O", "O", "O", "Na", "Na", "Rh"], "fractional_positions": [[0.667, 0.333, 0.176], [0.333, 0.667, 0.824], [0.632, 0.908, 0.806], [0.092, 0.724, 0.806], [0.724, 0.632, 0.194], [0.368, 0.092, 0.194], [0.908, 0.276, 0.194], [0.276, 0.368, 0.806], [0.667, 0.333, 0.649], [0.333, 0.667, 0.351], [0.000, 0.000, 0.000]]}

{"formula": "TaIrOs", "functional": "PBE-GGA", "state": "optimized geometry", "relative_energy_mev_per_atom": 271, "total_magnetization_mub_per_cell": 0.00, "dos_ef_per_ev_cell": 2.250, "vol_a3_per_atom": 15.80, "sg": "P-6m2", "lattice": [[4.462, 0.000, 0.000], [-2.231, 3.864, 0.000], [0.000, 0.000, 2.748]], "species": ["Ta", "Os", "Ir"], "fractional_positions": [[0.333, 0.667, 0.833], [0.667, 0.333, 0.334], [0.000, 0.000, 0.834]]}

{"formula": "AcBe2BOs2", "functional": "PBE-GGA", "state": "optimized geometry", "total_energy_ev_per_atom": -7.039, "total_magnetization_mub_per_cell": 0.00, "dos_ef_per_ev_cell": 2.234, "vol_a3_per_atom": 16.32, "sg": "P4/mmm", "lattice": [[-4.067, 0.590, 0.688], [-0.738, -3.990, -0.946], [0.710, -1.415, 5.412]], "species": ["B", "Os", "Os", "Ac", "Be", "Be"], "fractional_positions": [[0.000, 0.000, 0.000], [0.000, 0.500, 0.000], [0.500, 0.000, 0.000], [0.000, 0.000, 0.500], [0.500, 0.500, 0.201], [0.500, 0.500, 0.799]]}

{"formula": "K2Ho2GeO6", "functional": "PBE-GGA", "state": "optimized geometry", "formation_energy_uncorrected_ev_per_fu": -26.84, "total_magnetization_mub_per_cell": 0.00, "dos_ef_per_ev_cell": 0.000, "vol_a3_per_atom": 16.24, "sg": "C2/m", "lattice": [[5.678, 0.003, 0.096], [-2.804, 4.937, 0.096], [-0.976, -1.678, 6.304]], "species": ["O", "O", "O", "O", "O", "O", "K", "K", "Ge", "Ho", "Ho"], "fractional_positions": [[0.350, 0.048, 0.668], [0.764, 0.764, 0.667], [0.952, 0.650, 0.332], [0.650, 0.952, 0.332], [0.236, 0.236, 0.333], [0.048, 0.350, 0.668], [0.838, 0.162, 0.000], [0.162, 0.838, 0.000], [0.000, 0.000, 0.500], [0.666, 0.334, 0.500], [0.334, 0.666, 0.500]]}

{"formula": "Tb6PmSm3Th2", "functional": "PBE-GGA", "state": "optimized geometry", "total_energy_ev_per_atom": -5.102, "total_magnetization_mub_per_cell": 0.00, "dos_ef_per_ev_cell": 16.163, "vol_a3_per_atom": 32.61, "sg": "C2/m", "lattice": [[-1.354, -1.603, 5.864], [-3.750, -1.761, -4.651], [7.863, -8.678, -1.660]], "species": ["Sm", "Sm", "Sm", "Pm", "Th", "Th", "Tb", "Tb", "Tb", "Tb", "Tb", "Tb"], "fractional_positions": [[0.166, 0.834, 0.500], [0.500, 0.500, 0.500], [0.834, 0.166, 0.500], [0.000, 0.000, 0.000], [0.333, 0.667, 0.000], [0.667, 0.333, 0.000], [0.256, 0.256, 0.753], [0.082, 0.421, 0.246], [0.421, 0.082, 0.246], [0.918, 0.579, 0.754], [0.744, 0.744, 0.247], [0.579, 0.918, 0.754]]}

{"formula": "CaNdSmGa", "functional": "PBE-GGA", "state": "optimized geometry", "total_energy_ev_per_atom": -3.755, "total_magnetization_mub_per_cell": 0.00, "dos_ef_per_ev_cell": 2.841, "vol_a3_per_atom": 28.75, "sg": "F-43m", "lattice": [[-1.807, -3.829, -3.445], [-1.424, -4.919, 1.890], [-5.254, -1.479, 0.076]], "species": ["Ga", "Nd", "Sm", "Ca"], "fractional_positions": [[0.250, 0.250, 0.250], [0.500, 0.500, 0.500], [0.000, 0.000, 0.000], [0.750, 0.750, 0.750]]}

{"formula": "Zr2TcRh", "functional": "PBE-GGA", "state": "optimized geometry", "total_energy_ev_per_atom": -8.862, "total_magnetization_mub_per_cell": 0.14, "dos_ef_per_ev_cell": 4.625, "vol_a3_per_atom": 17.56, "sg": "F-43m", "lattice": [[4.631, 0.000, 0.000], [2.316, 4.011, 0.000], [2.316, 1.337, 3.781]], "species": ["Zr", "Zr", "Rh", "Tc"], "fractional_positions": [[0.000, 0.000, 0.000], [0.250, 0.250, 0.250], [0.500, 0.500, 0.500], [0.750, 0.750, 0.750]]}

{"formula": "Ba2NpCrN5", "functional": "PBE-GGA", "state": "optimized geometry", "formation_energy_uncorrected_ev_per_fu": -7.01, "total_magnetization_mub_per_cell": 1.17, "dos_ef_per_ev_cell": 9.297, "vol_a3_per_atom": 17.19, "sg": "Cmc2_1", "lattice": [[3.551, 0.000, 0.000], [-1.775, 7.645, 0.000], [0.000, 0.000, 11.401]], "species": ["N", "N", "N", "N", "N", "N", "N", "N", "N", "N", "Cr", "Cr", "Np", "Np", "Ba", "Ba", "Ba", "Ba"], "fractional_positions": [[0.701, 0.402, 0.137], [0.952, 0.904, 0.499], [0.321, 0.642, 0.008], [0.504, 0.009, 0.807], [0.299, 0.598, 0.637], [0.496, 0.991, 0.307], [0.325, 0.650, 0.405], [0.679, 0.358, 0.508], [0.675, 0.350, 0.905], [0.048, 0.096, 0.999], [0.448, 0.897, 0.437], [0.552, 0.103, 0.937], [0.194, 0.388, 0.024], [0.806, 0.612, 0.524], [0.136, 0.273, 0.329], [0.116, 0.231, 0.678], [0.884, 0.769, 0.178], [0.864, 0.727, 0.829]]}

{"formula": "TiZn", "functional": "PBE-GGA", "state": "optimized geometry", "total_energy_ev_per_atom": -4.671, "total_magnetization_mub_per_cell": 0.00, "dos_ef_per_ev_cell": 15.880, "vol_a3_per_atom": 15.71, "sg": "P2_12_12_1", "lattice": [[-4.513, 1.781, 1.126], [-0.973, -4.415, 3.082], [3.541, 4.338, 7.332]], "species": ["Zn", "Zn", "Zn", "Zn", "Zn", "Zn", "Zn", "Zn", "Ti", "Ti", "Ti", "Ti", "Ti", "Ti", "Ti", "Ti"], "fractional_positions": [[0.995, 0.669, 0.258], [0.705, 0.137, 0.004], [0.205, 0.363, 0.996], [0.795, 0.863, 0.504], [0.295, 0.637, 0.496], [0.495, 0.831, 0.742], [0.005, 0.169, 0.242], [0.505, 0.331, 0.758], [0.715, 0.640, 0.993], [0.989, 0.071, 0.752], [0.511, 0.929, 0.252], [0.285, 0.140, 0.507], [0.011, 0.571, 0.748], [0.785, 0.360, 0.493], [0.489, 0.429, 0.248], [0.215, 0.860, 0.007]]}

{"formula": "Sm8InBi5", "functional": "PBE-GGA", "state": "optimized geometry", "total_energy_ev_per_atom": -5.019, "total_magnetization_mub_per_cell": 0.00, "dos_ef_per_ev_cell": 15.672, "vol_a3_per_atom": 31.35, "sg": "I-4", "lattice": [[7.836, 0.000, -2.711], [-3.902, 6.763, -2.791], [-0.032, 0.000, 8.292]], "species": ["Sm", "Sm", "Sm", "Sm", "Sm", "Sm", "Sm", "Sm", "Bi", "Bi", "Bi", "Bi", "Bi", "In"], "fractional_positions": [[0.479, 0.605, 0.226], [0.126, 0.747, 0.521], [0.125, 0.748, 0.015], [0.621, 0.395, 0.874], [0.985, 0.110, 0.733], [0.267, 0.252, 0.377], [0.774, 0.253, 0.379], [0.623, 0.890, 0.875], [0.877, 0.874, 0.251], [0.500, 0.000, 0.500], [0.749, 0.626, 0.623], [0.997, 0.374, 0.123], [0.377, 0.126, 0.003], [0.250, 0.500, 0.750]]}

{"formula": "LiPm2Ni2", "functional": "PBE-GGA", "state": "optimized geometry", "relative_energy_mev_per_atom": 0, "total_magnetization_mub_per_cell": 0.00, "dos_ef_per_ev_cell": 7.456, "vol_a3_per_atom": 21.14, "sg": "P4/mbm", "lattice": [[-0.136, -3.643, -1.046], [6.399, 0.838, -3.754], [3.837, -1.900, 6.116]], "species": ["Ni", "Ni", "Ni", "Ni", "Pm", "Pm", "Pm", "Pm", "Li", "Li"], "fractional_positions": [[0.000, 0.381, 0.881], [0.000, 0.881, 0.619], [0.000, 0.119, 0.381], [0.000, 0.619, 0.119], [0.500, 0.674, 0.826], [0.500, 0.826, 0.326], [0.500, 0.174, 0.674], [0.500, 0.326, 0.174], [0.000, 0.500, 0.500], [0.000, 0.000, 0.000]]}

{"formula": "CsSnAs", "functional": "PBE-GGA", "state": "optimized geometry", "total_energy_ev_per_atom": -3.541, "total_magnetization_mub_per_cell": 0.00, "dos_ef_per_ev_cell": 0.002, "vol_a3_per_atom": 37.24, "sg": "P3m1", "lattice": [[-2.126, 6.377, 1.873], [-2.637, 0.118, -3.394], [-1.395, -1.568, 3.753]], "species": ["Cs", "As", "Sn"], "fractional_positions": [[0.638, 0.667, 0.333], [0.273, 0.333, 0.667], [0.088, 0.000, 0.000]]}

{"formula": "Y2TcIrC", "functional": "PBE-GGA", "state": "optimized geometry", "relative_energy_mev_per_atom": 0, "total_magnetization_mub_per_cell": 0.00, "dos_ef_per_ev_cell": 3.147, "vol_a3_per_atom": 18.62, "sg": "P4/mmm", "lattice": [[-2.341, 2.957, -3.111], [-0.626, -3.742, -3.085], [-3.382, -0.859, 1.728]], "species": ["C", "Tc", "Y", "Y", "Ir"], "fractional_positions": [[0.000, 0.000, 0.000], [0.000, 0.000, 0.500], [0.000, 0.500, 0.000], [0.500, 0.000, 0.000], [0.500, 0.500, 0.500]]}

{"formula": "CdRePd3", "functional": "PBE-GGA", "state": "optimized geometry", "relative_energy_mev_per_atom": 0, "total_magnetization_mub_per_cell": 0.00, "dos_ef_per_ev_cell": 6.368, "vol_a3_per_atom": 22.54, "sg": "Pm-3m", "lattice": [[-0.681, -4.775, -0.268], [1.646, -0.488, 4.515], [-4.490, 0.545, 1.696]], "species": ["Cd", "Pd", "Pd", "Pd", "Re"], "fractional_positions": [[0.500, 0.500, 0.500], [0.000, 0.000, 0.500], [0.500, 0.000, 0.000], [0.000, 0.500, 0.000], [0.000, 0.000, 0.000]]}

{"formula": "K2LaCl", "functional": "PBE-GGA", "state": "optimized geometry", "formation_energy_uncorrected_ev_per_fu": -2.42, "relative_energy_mev_per_atom": 91, "total_magnetization_mub_per_cell": 0.72, "dos_ef_per_ev_cell": 4.097, "vol_a3_per_atom": 43.45, "sg": "Cmm2", "lattice": [[4.009, 0.040, 0.000], [-2.020, 3.463, 0.000], [0.000, 0.000, 12.449]], "species": ["La", "K", "K", "Cl"], "fractional_positions": [[0.000, 0.000, 0.561], [0.500, 0.500, 0.263], [0.000, 0.000, 0.933], [0.500, 0.500, 0.743]]}

{"formula": "SrCdTe3", "functional": "PBE-GGA", "state": "optimized geometry", "formation_energy_uncorrected_ev_per_fu": -1.79, "relative_energy_mev_per_atom": 0, "total_magnetization_mub_per_cell": 0.00, "dos_ef_per_ev_cell": 4.452, "vol_a3_per_atom": 36.11, "sg": "Pm-3m", "lattice": [[-2.132, -2.601, -4.543], [-0.768, -4.696, 3.049], [-5.178, 1.768, 1.418]], "species": ["Te", "Te", "Te", "Sr", "Cd"], "fractional_positions": [[0.000, 0.000, 0.500], [0.000, 0.500, 0.000], [0.500, 0.000, 0.000], [0.500, 0.500, 0.500], [0.000, 0.000, 0.000]]}

{"formula": "Al2ReRh", "functional": "PBE-GGA", "state": "optimized geometry", "relative_energy_mev_per_atom": 301, "total_magnetization_mub_per_cell": 0.00, "dos_ef_per_ev_cell": 4.016, "vol_a3_per_atom": 14.87, "sg": "R3m", "lattice": [[8.766, -0.002, -0.001], [8.312, 2.785, -0.001], [8.312, 1.355, 2.433]], "species": ["Rh", "Al", "Al", "Re"], "fractional_positions": [[0.749, 0.749, 0.749], [0.005, 0.005, 0.005], [0.248, 0.248, 0.248], [0.499, 0.499, 0.499]]}